Material: HfAlNF2
Method: DFT, PBE
State: optimized geometry

a = 3.3936 Å, b = 3.3936 Å, c = 5.7676 Å
α = 90.00°, β = 90.00°, γ = 90.00°
Space group P4/mmm (No. 123)
One atom of each set of equivalent atoms:
Hf1 0.0000 0.0000 0.0000 (multiplicity 1)
Al1 0.5000 0.5000 0.5000 (multiplicity 1)
N1 0.5000 0.5000 0.0000 (multiplicity 1)
F1 0.0000 0.5000 0.5000 (multiplicity 2)

Values from the calculation:
Total DFT energy (no corrections) ... -6.625 eV/atom
V ... 13.285 Å³ per atom
Formation energy from raw total energies ... -1473 meV per atom
E above lowest polymorph ... 191.6 meV/atom

Material: CoSi3Ru
Method: DFT, PBE
State: optimized geometry

a = 4.2266 Å, b = 4.2266 Å, c = 4.2266 Å
α = 90.00°, β = 90.00°, γ = 90.00°
Space group Pm-3m (No. 221)
One atom of each set of equivalent atoms:
Co1 0.0000 0.0000 0.0000 (multiplicity 1)
Si1 0.0000 0.0000 0.5000 (multiplicity 3)
Ru1 0.5000 0.5000 0.5000 (multiplicity 1)

Values from the calculation:
Total DFT energy (no corrections) ... -5.946 eV/atom
V ... 15.101 Å³ per atom
Formation energy from raw total energies ... 584 meV per atom
E above lowest polymorph ... 0.0 meV/atom

Q: Number 1 is which compound?
A: HfAlNF2